Here is an optimized crystal structure of Mg16Al12Cd from the Alexandria database. Energies are from GGA-PBEsol.

```
data_Mg16Al12Cd
_chemical_formula_sum 'Mg32 Al24 Cd2'
_cell_length_a 10.454
_cell_length_b 14.722
_cell_length_c 9.045
_cell_angle_alpha 90.00
_cell_angle_beta 124.87
_cell_angle_gamma 90.00
_symmetry_space_group_name_H-M 'C 1 m 1'
_symmetry_Int_Tables_number 8
loop_
_symmetry_equiv_pos_as_xyz
'x,y,z'
'x,-y,z'
'x+1/2,y+1/2,z'
'x+1/2,-y+1/2,z'
loop_
_atom_site_label
_atom_site_type_symbol
_atom_site_fract_x
_atom_site_fract_y
_atom_site_fract_z
_atom_site_occupancy
Mg1 Mg 0.000 0.000 0.000 1
Mg2 Mg 0.001 0.000 0.345 1
Mg3 Mg 0.015 0.304 0.659 1
Mg4 Mg 0.040 0.361 0.344 1
Mg5 Mg 0.199 0.200 0.026 1
Mg6 Mg 0.313 0.000 0.054 1
Mg7 Mg 0.327 0.325 0.347 1
Mg8 Mg 0.343 0.342 0.743 1
Mg9 Mg 0.350 0.000 0.684 1
Mg10 Mg 0.442 0.157 0.943 1
Al1 Al 0.093 0.093 0.710 1
Al2 Al 0.132 0.500 0.163 1
Al3 Al 0.182 0.185 0.527 1
Al4 Al 0.226 0.407 0.980 1
Al5 Al 0.272 0.091 0.339 1
Al6 Al 0.316 0.500 0.525 1
Al7 Al 0.495 0.315 0.156 1
Cd1 Cd 0.114 0.500 0.640 1
```

Output
The calculation puts the formation energy at -0.02 eV per atom. Its offset from the most stable computed form is 0 meV/atom. The value obtained for the total energy is -2.700 eV per atom. For the total magnetization, the calculation gives 0.00 μB per cell. Its density of states at the Fermi level is 0.38 states/eV/atom.

***

Here is an optimized crystal structure of Mg16Al12Cd from the Alexandria database. Energies are from GGA-PBEsol.

```
data_Mg16Al12Cd
_chemical_formula_sum 'Mg32 Al24 Cd2'
_cell_length_a 10.472
_cell_length_b 10.472
_cell_length_c 10.472
_cell_angle_alpha 90.00
_cell_angle_beta 90.00
_cell_angle_gamma 90.00
_symmetry_space_group_name_H-M 'I -4 3 m'
_symmetry_Int_Tables_number 217
_symmetry_space_group_name_Hall 'I -4 2 3'
loop_
_atom_site_label
_atom_site_type_symbol
_atom_site_fract_x
_atom_site_fract_y
_atom_site_fract_z
_atom_site_occupancy
Mg1 Mg 0.043 0.357 0.357 1
Mg2 Mg 0.170 0.170 0.830 1
Al1 Al 0.092 0.092 0.278 1
Cd1 Cd 0.000 0.000 0.000 1
```

Output
The calculation puts the formation energy at 0.00 eV per atom. Its offset from the most stable computed form is 16 meV/atom. The value obtained for the total energy is -2.683 eV per atom. For the total magnetization, the calculation gives 0.00 μB per cell. Its density of states at the Fermi level is 0.40 states/eV/atom.

***

Here is an optimized crystal structure of MgAl4Cd from the Alexandria database. Energies are from GGA-PBEsol.

```
data_MgAl4Cd
_chemical_formula_sum 'Mg4 Al16 Cd4'
_cell_length_a 7.673
_cell_length_b 7.673
_cell_length_c 7.673
_cell_angle_alpha 90.00
_cell_angle_beta 90.00
_cell_angle_gamma 90.00
_symmetry_space_group_name_H-M 'F -4 3 m'
_symmetry_Int_Tables_number 216
_symmetry_space_group_name_Hall 'F -4 2 3'
loop_
_atom_site_label
_atom_site_type_symbol
_atom_site_fract_x
_atom_site_fract_y
_atom_site_fract_z
_atom_site_occupancy
Mg1 Mg 0.000 0.000 0.000 1
Al1 Al 0.125 0.125 0.625 1
Cd1 Cd 0.250 0.250 0.250 1
```

Output
The calculation puts the formation energy at 0.10 eV per atom. The value obtained for the total energy is -3.117 eV per atom. For the total magnetization, the calculation gives 0.00 μB per cell. Its density of states at the Fermi level is 0.49 states/eV/atom.

***

Here is an optimized crystal structure of Mg2AlCd from the Alexandria database. Energies are from GGA-PBEsol.

```
data_Mg2AlCd
_chemical_formula_sum 'Mg4 Al2 Cd2'
_cell_length_a 9.766
_cell_length_b 3.110
_cell_length_c 5.458
_cell_angle_alpha 90.00
_cell_angle_beta 101.24
_cell_angle_gamma 90.00
_symmetry_space_group_name_H-M 'C 1 2/m 1'
_symmetry_Int_Tables_number 12
loop_
_symmetry_equiv_pos_as_xyz
'x,y,z'
'-x,-y,-z'
'-x,y,-z'
'x,-y,z'
'x+1/2,y+1/2,z'
'-x+1/2,-y+1/2,-z'
'-x+1/2,y+1/2,-z'
'x+1/2,-y+1/2,z'
loop_
_atom_site_label
_atom_site_type_symbol
_atom_site_fract_x
_atom_site_fract_y
_atom_site_fract_z
_atom_site_occupancy
Mg1 Mg 0.248 0.000 0.245 1
Al1 Al 0.000 0.500 0.000 1
Cd1 Cd 0.000 0.000 0.500 1
```

Output
The calculation puts the formation energy at 0.00 eV per atom. Its offset from the most stable computed form is 46 meV/atom. The value obtained for the total energy is -2.176 eV per atom. For the total magnetization, the calculation gives 0.00 μB per cell. Its density of states at the Fermi level is 0.36 states/eV/atom.

***

Here is an optimized crystal structure of Mg2AlCd from the Alexandria database. Energies are from GGA-PBEsol.

```
data_Mg2AlCd
_chemical_formula_sum 'Mg8 Al4 Cd4'
_cell_length_a 6.847
_cell_length_b 6.847
_cell_length_c 6.847
_cell_angle_alpha 90.00
_cell_angle_beta 90.00
_cell_angle_gamma 90.00
_symmetry_space_group_name_H-M 'F m -3 m'
_symmetry_Int_Tables_number 225
_symmetry_space_group_name_Hall '-F 4 2 3'
loop_
_atom_site_label
_atom_site_type_symbol
_atom_site_fract_x
_atom_site_fract_y
_atom_site_fract_z
_atom_site_occupancy
Mg1 Mg 0.250 0.250 0.250 1
Al1 Al 0.000 0.000 0.000 1
Cd1 Cd 0.000 0.000 0.500 1
```

Output
The calculation puts the formation energy at 0.00 eV per atom. Its offset from the most stable computed form is 42 meV/atom. The value obtained for the total energy is -2.179 eV per atom. For the total magnetization, the calculation gives 0.00 μB per cell. Its density of states at the Fermi level is 0.33 states/eV/atom.

***

Here is an optimized crystal structure of Mg2AlCd from the Alexandria database. Energies are from GGA-PBEsol.

```
data_Mg2AlCd
_chemical_formula_sum 'Mg2 Al1 Cd1'
_cell_length_a 5.215
_cell_length_b 3.066
_cell_length_c 5.431
_cell_angle_alpha 90.00
_cell_angle_beta 110.77
_cell_angle_gamma 90.00
_symmetry_space_group_name_H-M 'P 1 2/m 1'
_symmetry_Int_Tables_number 10
loop_
_symmetry_equiv_pos_as_xyz
'x,y,z'
'-x,-y,-z'
'-x,y,-z'
'x,-y,z'
loop_
_atom_site_label
_atom_site_type_symbol
_atom_site_fract_x
_atom_site_fract_y
_atom_site_fract_z
_atom_site_occupancy
Mg1 Mg 0.000 0.000 0.000 1
Mg2 Mg 0.000 0.500 0.500 1
Al1 Al 0.500 0.000 0.500 1
Cd1 Cd 0.500 0.500 0.000 1
```

Output
The calculation puts the formation energy at 0.01 eV per atom. Its offset from the most stable computed form is 48 meV/atom. The value obtained for the total energy is -2.173 eV per atom. For the total magnetization, the calculation gives 0.00 μB per cell. Its density of states at the Fermi level is 0.37 states/eV/atom.

***

Here is an optimized crystal structure of Mg2AlCd from the Alexandria database. Energies are from GGA-PBEsol.

```
data_Mg2AlCd
_chemical_formula_sum 'Mg2 Al1 Cd1'
_cell_length_a 3.137
_cell_length_b 4.272
_cell_length_c 6.045
_cell_angle_alpha 90.00
_cell_angle_beta 90.00
_cell_angle_gamma 90.00
_symmetry_space_group_name_H-M 'P m m 2'
_symmetry_Int_Tables_number 25
loop_
_symmetry_equiv_pos_as_xyz
'x,y,z'
'-x,-y,z'
'-x,y,z'
'x,-y,z'
loop_
_atom_site_label
_atom_site_type_symbol
_atom_site_fract_x
_atom_site_fract_y
_atom_site_fract_z
_atom_site_occupancy
Mg1 Mg 0.000 0.000 0.000 1
Mg2 Mg 0.500 0.500 0.269 1
Al1 Al 0.000 0.000 0.502 1
Cd1 Cd 0.500 0.500 0.756 1
```

Output
The calculation puts the formation energy at 0.01 eV per atom. Its offset from the most stable computed form is 46 meV/atom. The value obtained for the total energy is -2.175 eV per atom. For the total magnetization, the calculation gives 0.00 μB per cell. Its density of states at the Fermi level is 0.41 states/eV/atom.

***

Here is an optimized crystal structure of Mg2AlCd from the Alexandria database. Energies are from GGA-PBEsol.

```
data_Mg2AlCd
_chemical_formula_sum 'Mg4 Al2 Cd2'
_cell_length_a 6.171
_cell_length_b 8.620
_cell_length_c 2.994
_cell_angle_alpha 90.00
_cell_angle_beta 90.00
_cell_angle_gamma 90.00
_symmetry_space_group_name_H-M 'C m m m'
_symmetry_Int_Tables_number 65
_symmetry_space_group_name_Hall '-C 2 2'
loop_
_atom_site_label
_atom_site_type_symbol
_atom_site_fract_x
_atom_site_fract_y
_atom_site_fract_z
_atom_site_occupancy
Mg1 Mg 0.250 0.250 0.000 1
Al1 Al 0.000 0.000 0.500 1
Cd1 Cd 0.000 0.500 0.500 1
```

Output
The calculation puts the formation energy at -0.04 eV per atom. Its offset from the most stable computed form is 3 meV/atom. The value obtained for the total energy is -2.219 eV per atom. For the total magnetization, the calculation gives 0.00 μB per cell. Its density of states at the Fermi level is 0.36 states/eV/atom.

***

- Number 8 is which compound?
  Mg2AlCd